# 1
# Sm3Ho5Tl2

An optimized crystal structure of Sm3Ho5Tl2 (GGA-PBE, Alexandria).

The density comes out at 8.73 g/cm³. Its crystal system is orthorhombic. The calculation puts the formation energy at 1.00 eV per formula unit.

Unit cell a=12.8725 b=15.4511 c=6.4424 alpha=90.00 beta=90.00 gamma=90.00
Space group Ibam (No. 72)
Inequivalent atoms, fractional coordinates:
Sm  0.0000  0.0000  0.2500 (multiplicity 4)
Sm  0.1186  0.2361  0.0000 (multiplicity 8)
Ho  0.0000  0.5000  0.2500 (multiplicity 4)
Ho  0.1190  0.3363  0.5000 (multiplicity 8)
Ho  0.2468  0.5000  0.2500 (multiplicity 8)
Tl  0.1353  0.1461  0.5000 (multiplicity 8)

# 2
# Sm4HoTl

An optimized crystal structure of Sm4HoTl (GGA-PBE, Alexandria).

The density comes out at 8.26 g/cm³. Its crystal system is monoclinic. The calculation puts the formation energy at -0.11 eV per formula unit. As for the offset from the most stable computed form: 0.017 eV per atom.

Unit cell a=8.8505 b=14.2785 c=6.5464 alpha=90.00 beta=109.38 gamma=90.00
Space group C2/c (No. 15)
Inequivalent atoms, fractional coordinates:
Sm  0.0964  0.1903  0.0432 (multiplicity 8)
Sm  0.2136  0.3784  0.3788 (multiplicity 8)
Ho  0.0000  0.4111  0.7500 (multiplicity 4)
Tl  0.0000  0.9997  0.2500 (multiplicity 4)

# 3
# SmHo3Tl2

An optimized crystal structure of SmHo3Tl2 (GGA-PBE, Alexandria).

The density comes out at 10.05 g/cm³. Its crystal system is orthorhombic. The calculation puts the formation energy at -1.60 eV per formula unit. As for the offset from the most stable computed form: 0.000 eV per atom.

Unit cell a=5.1079 b=9.9871 c=6.8284 alpha=90.00 beta=90.00 gamma=90.00
Space group Pmc2_1 (No. 26)
Inequivalent atoms, fractional coordinates:
Sm  0.0000  0.0429  0.0000 (multiplicity 2)
Ho  0.0000  0.3163  0.6216 (multiplicity 2)
Ho  0.5000  0.1911  0.2801 (multiplicity 2)
Ho  0.5000  0.4559  0.9062 (multiplicity 2)
Tl  0.0000  0.3673  0.1607 (multiplicity 2)
Tl  0.5000  0.1359  0.7403 (multiplicity 2)

# 4
# Sm2Ho2Tl3

An optimized crystal structure of Sm2Ho2Tl3 (GGA-PBE, Alexandria).

The density comes out at 10.08 g/cm³. Its crystal system is orthorhombic. The calculation puts the formation energy at -1.58 eV per formula unit. As for the offset from the most stable computed form: 0.017 eV per atom.

Unit cell a=3.5350 b=32.3293 c=3.5868 alpha=90.00 beta=90.00 gamma=90.00
Space group Cmmm (No. 65)
Inequivalent atoms, fractional coordinates:
Sm  0.0000  0.0692  0.0000 (multiplicity 4)
Ho  0.0000  0.2024  0.0000 (multiplicity 4)
Tl  0.0000  0.3617  0.5000 (multiplicity 4)
Tl  0.0000  0.5000  0.5000 (multiplicity 2)

# 5
# Sm3HoTl4

An optimized crystal structure of Sm3HoTl4 (GGA-PBE, Alexandria).

The density comes out at 10.37 g/cm³. Its crystal system is orthorhombic. The calculation puts the formation energy at -1.92 eV per formula unit. As for the offset from the most stable computed form: 0.131 eV per atom.

Unit cell a=10.0473 b=6.7679 c=6.7509 alpha=90.00 beta=90.00 gamma=90.00
Space group Pmn2_1 (No. 31)
Inequivalent atoms, fractional coordinates:
Sm  0.0000  0.0009  0.0000 (multiplicity 2)
Sm  0.2502  0.2508  0.7491 (multiplicity 4)
Ho  0.0000  0.5006  0.9981 (multiplicity 2)
Tl  0.0000  0.9998  0.5000 (multiplicity 2)
Tl  0.0000  0.4994  0.4984 (multiplicity 2)
Tl  0.2502  0.2517  0.2491 (multiplicity 4)

# 6
# SmHo2Tl

An optimized crystal structure of SmHo2Tl (GGA-PBE, Alexandria).

The density comes out at 9.35 g/cm³. Its crystal system is trigonal. The calculation puts the formation energy at -0.45 eV per formula unit. As for the offset from the most stable computed form: 0.067 eV per atom.

Unit cell a=3.5699 b=3.5699 c=33.0584 alpha=90.00 beta=90.00 gamma=120.00
Space group R-3m (No. 166, hexagonal axes)
Inequivalent atoms, fractional coordinates:
Sm  0.0000  0.0000  0.0000 (multiplicity 3)
Ho  0.0000  0.0000  0.2458 (multiplicity 6)
Tl  0.0000  0.0000  0.5000 (multiplicity 3)

# 7
# Sm12Ho7Tl

An optimized crystal structure of Sm12Ho7Tl (GGA-PBE, Alexandria).

The density comes out at 7.99 g/cm³. Its crystal system is trigonal. The calculation puts the formation energy at 3.34 eV per formula unit.

Unit cell a=12.1635 b=12.1635 c=15.4003 alpha=90.00 beta=90.00 gamma=120.00
Space group R-3 (No. 148, hexagonal axes)
Inequivalent atoms, fractional coordinates:
Sm  0.0293  0.4507  0.2119 (multiplicity 18)
Sm  0.0571  0.5886  0.5846 (multiplicity 18)
Ho  0.0000  0.0000  0.0000 (multiplicity 3)
Ho  0.0512  0.1861  0.3023 (multiplicity 18)
Tl  0.0000  0.0000  0.5000 (multiplicity 3)

# 8
# Sm2Ho3Tl4

An optimized crystal structure of Sm2Ho3Tl4 (GGA-PBE, Alexandria).

The density comes out at 10.39 g/cm³. Its crystal system is monoclinic. The calculation puts the formation energy at -2.66 eV per formula unit. As for the offset from the most stable computed form: 0.000 eV per atom.

Unit cell a=9.1546 b=5.2919 c=10.6467 alpha=90.00 beta=90.10 gamma=90.00
Space group C2/m (No. 12)
Inequivalent atoms, fractional coordinates:
Sm  0.1667  0.0000  0.2768 (multiplicity 4)
Ho  0.0000  0.5000  0.5000 (multiplicity 2)
Ho  0.1668  0.0000  0.9263 (multiplicity 4)
Tl  0.9997  0.5000  0.1520 (multiplicity 4)
Tl  0.1666  0.0000  0.6030 (multiplicity 4)

What did the seventh record say?
# Sm12Ho7Tl

An optimized crystal structure of Sm12Ho7Tl (GGA-PBE, Alexandria).

The density comes out at 7.99 g/cm³. Its crystal system is trigonal. The calculation puts the formation energy at 3.34 eV per formula unit.

Unit cell a=12.1635 b=12.1635 c=15.4003 alpha=90.00 beta=90.00 gamma=120.00
Space group R-3 (No. 148, hexagonal axes)
Inequivalent atoms, fractional coordinates:
Sm  0.0293  0.4507  0.2119 (multiplicity 18)
Sm  0.0571  0.5886  0.5846 (multiplicity 18)
Ho  0.0000  0.0000  0.0000 (multiplicity 3)
Ho  0.0512  0.1861  0.3023 (multiplicity 18)
Tl  0.0000  0.0000  0.5000 (multiplicity 3)

- What is the formula in the sixth record?
  SmHo2Tl